(1)
Material: AgSb2
Method: DFT, PBE
State: relaxed

Properties
The value obtained for the density of states at the Fermi level is 1.00 states/eV/f.u. The calculation puts the total moment at 0.000 μB/atom. The energy comes out at -3.465 eV per atom. Its uncorrected formation energy is 0.2336 eV/atom.

Structure (CIF):
```
data_AgSb2
_cell_length_a 4.0565
_cell_length_b 4.0565
_cell_length_c 9.3602
_cell_angle_alpha 90.00
_cell_angle_beta 90.00
_cell_angle_gamma 90.00
_space_group_name_H-M_alt 'I 4/m m m'
_space_group_IT_number 139
_space_group_name_Hall '-I 4 2'
loop_
_atom_site_label
_atom_site_fract_x
_atom_site_fract_y
_atom_site_fract_z
Ag1 0.0000 0.0000 0.0000
Sb1 0.0000 0.0000 0.3190
```



(2)
Material: Y2CoHgPb
Method: DFT, PBE
State: relaxed

Properties
The value obtained for the density of states at the Fermi level is 4.40 states/eV/f.u. The calculation puts the total moment at 0.000 μB/atom. The calculation puts the formation energy at -0.179 eV per atom. The energy comes out at -4.988 eV per atom.

Structure (CIF):
```
data_Y2CoHgPb
_cell_length_a 5.1412
_cell_length_b 5.1412
_cell_length_c 4.9688
_cell_angle_alpha 90.00
_cell_angle_beta 90.00
_cell_angle_gamma 90.00
_space_group_name_H-M_alt 'P 4/m m m'
_space_group_IT_number 123
_space_group_name_Hall '-P 4 2'
loop_
_atom_site_label
_atom_site_fract_x
_atom_site_fract_y
_atom_site_fract_z
Y1 0.0000 0.5000 0.0000
Co1 0.0000 0.0000 0.0000
Hg1 0.5000 0.5000 0.5000
Pb1 0.0000 0.0000 0.5000
```



(3)
Material: NbReBr2F
Method: DFT, PBE
State: relaxed

Properties
The value obtained for the density of states at the Fermi level is 3.09 states/eV/f.u. The calculation puts the total moment at 0.595 μB/atom. The energy comes out at -4.951 eV per atom. Its uncorrected formation energy is 0.5958 eV/atom.

Structure (CIF):
```
data_NbReBr2F
_cell_length_a 5.0700
_cell_length_b 5.0700
_cell_length_c 5.1237
_cell_angle_alpha 90.00
_cell_angle_beta 90.00
_cell_angle_gamma 90.00
_space_group_name_H-M_alt 'P 4/m m m'
_space_group_IT_number 123
_space_group_name_Hall '-P 4 2'
loop_
_atom_site_label
_atom_site_fract_x
_atom_site_fract_y
_atom_site_fract_z
Nb1 0.0000 0.0000 0.0000
Re1 0.0000 0.0000 0.5000
Br1 0.0000 0.5000 0.0000
F1 0.5000 0.5000 0.5000
```



(4)
Material: LiTbThNb
Method: DFT, PBE
State: relaxed

Properties
The value obtained for the density of states at the Fermi level is 7.00 states/eV/f.u. The calculation puts the total moment at 0.000 μB/atom. The calculation puts the formation energy at 0.219 eV per atom. The energy comes out at -5.789 eV per atom.

Structure (CIF):
```
data_LiTbThNb
_cell_length_a 7.2712
_cell_length_b 7.2712
_cell_length_c 7.2712
_cell_angle_alpha 90.00
_cell_angle_beta 90.00
_cell_angle_gamma 90.00
_space_group_name_H-M_alt 'F -4 3 m'
_space_group_IT_number 216
_space_group_name_Hall 'F -4 2 3'
loop_
_atom_site_label
_atom_site_fract_x
_atom_site_fract_y
_atom_site_fract_z
Li1 0.0000 0.0000 0.0000
Tb1 0.2500 0.2500 0.7500
Th1 0.2500 0.2500 0.2500
Nb1 0.0000 0.0000 0.5000
```



(5)
Material: NaY2NiPd
Method: DFT, PBE
State: relaxed

Properties
The value obtained for the density of states at the Fermi level is 4.80 states/eV/f.u. The calculation puts the total moment at 0.000 μB/atom. The calculation puts the formation energy at 0.830 eV per atom. The energy comes out at -4.214 eV per atom.

Structure (CIF):
```
data_NaY2NiPd
_cell_length_a 5.4145
_cell_length_b 5.4145
_cell_length_c 4.2011
_cell_angle_alpha 90.00
_cell_angle_beta 90.00
_cell_angle_gamma 90.00
_space_group_name_H-M_alt 'P 4/m m m'
_space_group_IT_number 123
_space_group_name_Hall '-P 4 2'
loop_
_atom_site_label
_atom_site_fract_x
_atom_site_fract_y
_atom_site_fract_z
Na1 0.0000 0.0000 0.0000
Y1 0.0000 0.5000 0.0000
Ni1 0.0000 0.0000 0.5000
Pd1 0.5000 0.5000 0.5000
```



(6)
Material: TiRuW3
Method: DFT, PBE
State: relaxed

Properties
The value obtained for the density of states at the Fermi level is 6.91 states/eV/f.u. The calculation puts the total moment at 0.000 μB/atom. The calculation puts the formation energy at 1.731 eV per atom. The energy comes out at -9.476 eV per atom.

Structure (CIF):
```
data_TiRuW3
_cell_length_a 4.6776
_cell_length_b 4.6776
_cell_length_c 4.6776
_cell_angle_alpha 90.00
_cell_angle_beta 90.00
_cell_angle_gamma 90.00
_space_group_name_H-M_alt 'P m -3 m'
_space_group_IT_number 221
_space_group_name_Hall '-P 4 2 3'
loop_
_atom_site_label
_atom_site_fract_x
_atom_site_fract_y
_atom_site_fract_z
Ti1 0.0000 0.0000 0.0000
Ru1 0.5000 0.5000 0.5000
W1 0.0000 0.5000 0.5000
```



(7)
Material: LiZr2Rh
Method: DFT, PBE
State: relaxed

Properties
The value obtained for the density of states at the Fermi level is 1.71 states/eV/f.u. The calculation puts the total moment at 0.000 μB/atom. The calculation puts the formation energy at -0.097 eV per atom. The energy comes out at -6.687 eV per atom.

Structure (CIF):
```
data_LiZr2Rh
_cell_length_a 6.5464
_cell_length_b 6.5464
_cell_length_c 6.5464
_cell_angle_alpha 90.00
_cell_angle_beta 90.00
_cell_angle_gamma 90.00
_space_group_name_H-M_alt 'F -4 3 m'
_space_group_IT_number 216
_space_group_name_Hall 'F -4 2 3'
loop_
_atom_site_label
_atom_site_fract_x
_atom_site_fract_y
_atom_site_fract_z
Li1 0.0000 0.0000 0.0000
Zr1 0.0000 0.0000 0.5000
Zr2 0.2500 0.2500 0.7500
Rh1 0.2500 0.2500 0.2500
```



(8)
Material: SrLiBr
Method: DFT, PBE
State: relaxed

Properties
The value obtained for the density of states at the Fermi level is 1.27 states/eV/f.u. The calculation puts the total moment at 0.000 μB/atom. The energy comes out at -2.702 eV per atom. Its uncorrected formation energy is -0.9461 eV/atom.

Structure (CIF):
```
data_SrLiBr
_cell_length_a 4.6193
_cell_length_b 4.6193
_cell_length_c 36.2528
_cell_angle_alpha 90.00
_cell_angle_beta 90.00
_cell_angle_gamma 120.00
_space_group_name_H-M_alt 'R -3 m'
_space_group_IT_number 166
_space_group_name_Hall '-R 3 2"'
loop_
_atom_site_label
_atom_site_fract_x
_atom_site_fract_y
_atom_site_fract_z
Sr1 0.0000 0.0000 0.0753
Li1 0.0000 0.0000 0.3305
Br1 0.0000 0.0000 0.2146
```



(9)
Material: TaBe2In
Method: DFT, PBE
State: relaxed

Properties
The value obtained for the density of states at the Fermi level is 2.43 states/eV/f.u. The calculation puts the total moment at 0.000 μB/atom. The calculation puts the formation energy at 0.594 eV per atom. The energy comes out at -4.917 eV per atom.

Structure (CIF):
```
data_TaBe2In
_cell_length_a 2.9478
_cell_length_b 4.8136
_cell_length_c 8.9273
_cell_angle_alpha 90.00
_cell_angle_beta 90.00
_cell_angle_gamma 90.00
_space_group_name_H-M_alt 'I m m m'
_space_group_IT_number 71
_space_group_name_Hall '-I 2 2'
loop_
_atom_site_label
_atom_site_fract_x
_atom_site_fract_y
_atom_site_fract_z
Ta1 0.0000 0.0000 0.0000
Be1 0.0000 0.5000 0.2604
In1 0.0000 0.0000 0.5000
```



(10)
Material: Nd2HoSn
Method: DFT, PBE
State: relaxed

Properties
The value obtained for the density of states at the Fermi level is 4.03 states/eV/f.u. The calculation puts the total moment at 0.000 μB/atom. The calculation puts the formation energy at -0.432 eV per atom. The energy comes out at -4.961 eV per atom.

Structure (CIF):
```
data_Nd2HoSn
_cell_length_a 4.8714
_cell_length_b 4.8714
_cell_length_c 4.9632
_cell_angle_alpha 90.00
_cell_angle_beta 90.00
_cell_angle_gamma 90.00
_space_group_name_H-M_alt 'P 4/m m m'
_space_group_IT_number 123
_space_group_name_Hall '-P 4 2'
loop_
_atom_site_label
_atom_site_fract_x
_atom_site_fract_y
_atom_site_fract_z
Nd1 0.0000 0.5000 0.0000
Ho1 0.0000 0.0000 0.5000
Sn1 0.5000 0.5000 0.5000
```



(11)
Material: La3AlCu2
Method: DFT, PBE
State: relaxed

Properties
The value obtained for the density of states at the Fermi level is 5.77 states/eV/f.u. The calculation puts the total moment at 0.000 μB/atom. The calculation puts the formation energy at -0.137 eV per atom. The energy comes out at -4.590 eV per atom.

Structure (CIF):
```
data_La3AlCu2
_cell_length_a 8.8681
_cell_length_b 8.8681
_cell_length_c 14.2545
_cell_angle_alpha 90.00
_cell_angle_beta 90.00
_cell_angle_gamma 120.00
_space_group_name_H-M_alt 'R -3 c'
_space_group_IT_number 167
_space_group_name_Hall '-R 3 2"c'
loop_
_atom_site_label
_atom_site_fract_x
_atom_site_fract_y
_atom_site_fract_z
La1 0.0000 0.3259 0.2500
Al1 0.0000 0.0000 0.0000
Cu1 0.0000 0.0000 0.1666
```



(12)
Material: Tb2Nd3In2
Method: DFT, PBE
State: relaxed

Properties
The value obtained for the density of states at the Fermi level is 8.27 states/eV/f.u. The calculation puts the total moment at 0.000 μB/atom. The calculation puts the formation energy at -0.132 eV per atom. The energy comes out at -4.280 eV per atom.

Structure (CIF):
```
data_Tb2Nd3In2
_cell_length_a 17.0539
_cell_length_b 3.5398
_cell_length_c 8.0713
_cell_angle_alpha 90.00
_cell_angle_beta 117.86
_cell_angle_gamma 90.00
_space_group_name_H-M_alt 'C 1 2/m 1'
_space_group_IT_number 12
loop_
_space_group_symop_operation_xyz
'x,y,z'
'-x,-y,-z'
'-x,y,-z'
'x,-y,z'
'x+1/2,y+1/2,z'
'-x+1/2,-y+1/2,-z'
'-x+1/2,y+1/2,-z'
'x+1/2,-y+1/2,z'
loop_
_atom_site_label
_atom_site_fract_x
_atom_site_fract_y
_atom_site_fract_z
Tb1 0.1282 0.0000 0.4709
Nd1 0.0000 0.0000 0.0000
Nd2 0.2104 0.0000 0.1324
In1 0.0671 0.5000 0.7348
```